This record from the Alexandria database describes a relaxed structure of HPtPb3. The functional is PBE.

Unit cell a=5.421 b=5.421 c=5.421 alpha=90.00 beta=90.00 gamma=90.00
Positions (direct):
H: 0.000 0.000 0.000
Pt: 0.500 0.500 0.500
Pb: 0.000 0.500 0.500
Pb: 0.500 0.000 0.500
Pb: 0.500 0.500 0.000

Values from the calculation:
Relative energy among the computed polymorphs (meV per atom): 310
V (Å³ per cell): 159
Density of states at the Fermi level (states/eV per atom): 0.75
Total DFT energy (no corrections) (eV/cell): -17.49